#1
# Y2ScFe (meta-GGA SCAN, single point on PBEsol structure)
# Calculated density in kg/m3: 5353
# Density of states at the Fermi level in states/eV/cell: 26.2
data_Y2ScFe
_chemical_formula_sum 'Y8 Sc4 Fe4'
_cell_length_a 7.019
_cell_length_b 7.019
_cell_length_c 7.019
_cell_angle_alpha 90.00
_cell_angle_beta 90.00
_cell_angle_gamma 90.00
_space_group_name_H-M_alt 'F -4 3 m'
_space_group_IT_number 216
_space_group_name_Hall 'F -4 2 3'
loop_
_atom_site_label
_atom_site_type_symbol
_atom_site_fract_x
_atom_site_fract_y
_atom_site_fract_z
Y1 Y 0.000 0.000 0.000
Y2 Y 0.250 0.250 0.250
Sc1 Sc 0.000 0.000 0.500
Fe1 Fe 0.250 0.250 0.750



#2
# Y2ScFe (meta-GGA SCAN, single point on PBEsol structure)
# Calculated density in kg/m3: 5410
# Density of states at the Fermi level in states/eV/cell: 19.3
data_Y2ScFe
_chemical_formula_sum 'Y8 Sc4 Fe4'
_cell_length_a 6.994
_cell_length_b 6.994
_cell_length_c 6.994
_cell_angle_alpha 90.00
_cell_angle_beta 90.00
_cell_angle_gamma 90.00
_space_group_name_H-M_alt 'F m -3 m'
_space_group_IT_number 225
_space_group_name_Hall '-F 4 2 3'
loop_
_atom_site_label
_atom_site_type_symbol
_atom_site_fract_x
_atom_site_fract_y
_atom_site_fract_z
Y1 Y 0.250 0.250 0.250
Sc1 Sc 0.000 0.000 0.000
Fe1 Fe 0.000 0.000 0.500



If we sort the structures by their calculated energies, the order from most to least stable is #2, #1.



#1
# TlFe2Se (meta-GGA SCAN, single point on PBEsol structure)
# Calculated density in kg/m3: 9523
# Density of states at the Fermi level in states/eV/cell: 4.4
data_TlFe2Se
_chemical_formula_sum 'Tl2 Fe4 Se2'
_cell_length_a 2.993
_cell_length_b 5.522
_cell_length_c 8.336
_cell_angle_alpha 90.00
_cell_angle_beta 90.00
_cell_angle_gamma 90.00
_space_group_name_H-M_alt 'I m m m'
_space_group_IT_number 71
_space_group_name_Hall '-I 2 2'
loop_
_atom_site_label
_atom_site_type_symbol
_atom_site_fract_x
_atom_site_fract_y
_atom_site_fract_z
Tl1 Tl 0.000 0.000 0.000
Fe1 Fe 0.000 0.500 0.224
Se1 Se 0.000 0.000 0.500



#2
# TlFe2Se (meta-GGA SCAN, single point on PBEsol structure)
# Calculated density in kg/m3: 9003
# Density of states at the Fermi level in states/eV/cell: 5.0
data_TlFe2Se
_chemical_formula_sum 'Tl2 Fe4 Se2'
_cell_length_a 7.776
_cell_length_b 3.177
_cell_length_c 6.045
_cell_angle_alpha 90.00
_cell_angle_beta 102.60
_cell_angle_gamma 90.00
_space_group_name_H-M_alt 'C 1 m 1'
_space_group_IT_number 8
_space_group_name_Hall 'C -2y'
loop_
_atom_site_label
_atom_site_type_symbol
_atom_site_fract_x
_atom_site_fract_y
_atom_site_fract_z
Tl1 Tl 0.000 0.000 0.000
Fe1 Fe 0.265 0.500 0.274
Fe2 Fe 0.489 0.000 0.423
Se1 Se 0.224 0.000 0.563



If we sort the structures by their calculated energies, the order from most to least stable is #2, #1.



#1
# FeSiW2 (meta-GGA SCAN, single point on PBEsol structure)
# Calculated density in kg/m3: 14120
# Density of states at the Fermi level in states/eV/cell: 1.4
data_FeSiW2
_chemical_formula_sum 'Fe1 Si1 W2'
_cell_length_a 2.752
_cell_length_b 2.752
_cell_length_c 7.013
_cell_angle_alpha 90.00
_cell_angle_beta 90.00
_cell_angle_gamma 90.00
_space_group_name_H-M_alt 'P 4/m m m'
_space_group_IT_number 123
_space_group_name_Hall '-P 4 2'
loop_
_atom_site_label
_atom_site_type_symbol
_atom_site_fract_x
_atom_site_fract_y
_atom_site_fract_z
Fe1 Fe 0.000 0.000 0.000
Si1 Si 0.000 0.000 0.500
W1 W 0.500 0.500 0.243



#2
# FeSiW2 (meta-GGA SCAN, single point on PBEsol structure)
# Calculated density in kg/m3: 13966
# Density of states at the Fermi level in states/eV/cell: 3.9
data_FeSiW2
_chemical_formula_sum 'Fe2 Si2 W4'
_cell_length_a 3.090
_cell_length_b 4.230
_cell_length_c 8.218
_cell_angle_alpha 90.00
_cell_angle_beta 90.00
_cell_angle_gamma 90.00
_space_group_name_H-M_alt 'I m m 2'
_space_group_IT_number 44
_space_group_name_Hall 'I 2 -2'
loop_
_atom_site_label
_atom_site_type_symbol
_atom_site_fract_x
_atom_site_fract_y
_atom_site_fract_z
Fe1 Fe 0.000 0.000 0.000
Si1 Si 0.000 0.500 0.721
W1 W 0.000 0.000 0.482
W2 W 0.000 0.500 0.248



If we sort the structures by their calculated energies, the order from most to least stable is #2, #1.



#1
# Sr2TaFe (meta-GGA SCAN, single point on PBEsol structure)
# Calculated density in kg/m3: 6748
# Density of states at the Fermi level in states/eV/cell: 3.9
data_Sr2TaFe
_chemical_formula_sum 'Sr2 Ta1 Fe1'
_cell_length_a 5.694
_cell_length_b 5.694
_cell_length_c 3.128
_cell_angle_alpha 90.00
_cell_angle_beta 90.00
_cell_angle_gamma 90.00
_space_group_name_H-M_alt 'P 4/m m m'
_space_group_IT_number 123
_space_group_name_Hall '-P 4 2'
loop_
_atom_site_label
_atom_site_type_symbol
_atom_site_fract_x
_atom_site_fract_y
_atom_site_fract_z
Sr1 Sr 0.000 0.500 0.000
Ta1 Ta 0.000 0.000 0.500
Fe1 Fe 0.500 0.500 0.500



#2
# Sr2TaFe (meta-GGA SCAN, single point on PBEsol structure)
# Calculated density in kg/m3: 6349
# Density of states at the Fermi level in states/eV/cell: 21.4
data_Sr2TaFe
_chemical_formula_sum 'Sr8 Ta4 Fe4'
_cell_length_a 7.554
_cell_length_b 7.554
_cell_length_c 7.554
_cell_angle_alpha 90.00
_cell_angle_beta 90.00
_cell_angle_gamma 90.00
_space_group_name_H-M_alt 'F m -3 m'
_space_group_IT_number 225
_space_group_name_Hall '-F 4 2 3'
loop_
_atom_site_label
_atom_site_type_symbol
_atom_site_fract_x
_atom_site_fract_y
_atom_site_fract_z
Sr1 Sr 0.250 0.250 0.250
Ta1 Ta 0.000 0.000 0.000
Fe1 Fe 0.000 0.000 0.500



If we sort the structures by their calculated energies, the order from most to least stable is #1, #2.